The following is a PBEsol calculation of a relaxed structure of Li7Ni5O12, from Alexandria.

a b c (Å): 4.9051 8.4888 9.4301
angles (deg): 90.00 99.80 90.00
Space group C2/m (No. 12)
Unique sites:
Li: 0.0000 0.0000 0.0000
Li: 0.2418 0.1626 0.2430
Li: 0.2468 0.0000 0.7571
Ni: 0.0000 0.1648 0.5000
Ni: 0.0000 0.3333 0.0000
Ni: 0.0000 0.5000 0.5000
O: 0.1060 0.5000 0.8882
O: 0.1199 0.0000 0.3826
O: 0.1348 0.3360 0.3925
O: 0.1423 0.1791 0.8882

Values from the calculation:
Energy above the most stable polymorph in this dataset (eV per atom): 0.0000
Calculated volume (Å³ per cell): 386.93
Size of the total moment (μB/atom): 0.1284